Here is a geometry-optimized RbAl2TeSe6 structure from Alexandria via LeMat-Bulk. Energies are from PBE.

Properties
N(E_F)   0.342 states/eV per atom
Formation energy without anion corrections   -0.481 eV/atom
SG   No. 15

abc: 9.2144 9.2144 7.1972
angles: 92.77 92.77 97.07
Closest atoms and distances in Å follow each position.
Sites, in units of the cell vectors:
Rb: 0.0530 0.9470 0.7500  6 Se 3.29-3.47
Rb: 0.9470 0.0530 0.2500  6 Se 3.29-3.47
Al: 0.2146 0.3961 0.7883  4 Se 2.39-2.47
Al: 0.3961 0.2146 0.2883  4 Se 2.39-2.47
Al: 0.6039 0.7854 0.7117  4 Se 2.39-2.47
Al: 0.7854 0.6039 0.2117  4 Se 2.39-2.47
Te: 0.2759 0.7241 0.2500  4 Se 2.66-2.82
Te: 0.7241 0.2759 0.7500  4 Se 2.66-2.82
Se: 0.0115 0.7101 0.3877  1 Al 2.45, 1 Te 2.66
Se: 0.1369 0.6197 0.9039  1 Al 2.39
Se: 0.2846 0.3955 0.4610  2 Al 2.39-2.47
Se: 0.2899 0.9885 0.1123  1 Al 2.45, 1 Te 2.66
Se: 0.3803 0.8631 0.5961  1 Al 2.39
Se: 0.3955 0.2846 0.9610  2 Al 2.39-2.47
Se: 0.6045 0.7154 0.0390  2 Al 2.39-2.47
Se: 0.6197 0.1369 0.4039  1 Al 2.39
Se: 0.7101 0.0115 0.8877  1 Al 2.45, 1 Te 2.66
Se: 0.7154 0.6045 0.5390  2 Al 2.39-2.47
Se: 0.8631 0.3803 0.0961  1 Al 2.39
Se: 0.9885 0.2899 0.6123  1 Al 2.45, 1 Te 2.66